A relaxed Dy4ErMgS8 crystal, computed with PBE-GGA.

Properties
V = 25.47 Å³ per atom
Formation energy (no corrections) = -1919 meV/atom
Magnetic moment = 0.0 Bohr magnetons per cell
DOS(E_F) = 3.4 states/eV/f.u.

Cell: 7.963 7.963 7.957 Å, 59.98 59.98 60.00°
Atoms (fractional coordinates):
Dy: 0.625 0.625 0.126
Dy: 0.003 0.492 0.503
Dy: 0.492 0.003 0.503
Dy: 0.003 0.003 0.503
Er: 0.003 0.003 0.992
Mg: 0.375 0.375 0.875
S: 0.245 0.762 0.748
S: 0.762 0.245 0.748
S: 0.245 0.245 0.748
S: 0.246 0.246 0.261
S: 0.760 0.224 0.256
S: 0.224 0.760 0.256
S: 0.760 0.760 0.256
S: 0.758 0.758 0.725

A relaxed HfGaRh2 crystal, computed with PBE-GGA.

Properties
ΔE_f = -859 meV per atom
V = 15.67 Å³ per atom
Magnetic moment = 0.0 Bohr magnetons per cell
DOS(E_F) = 1.7 states/eV/f.u.

Cell: 3.517 4.221 4.221 Å, 90.00 90.00 90.00°
Atoms (fractional coordinates):
Rh: 0.000 0.000 0.500
Rh: 0.000 0.500 0.000
Hf: 0.500 0.500 0.500
Ga: 0.500 0.000 0.000

A relaxed CrSiB2Pd crystal, computed with PBE-GGA.

Properties
V = 16.23 Å³ per atom
Formation energy (no corrections) = 1218 meV/atom
Magnetic moment = 3.3 Bohr magnetons per cell
DOS(E_F) = 3.8 states/eV/f.u.

Cell: 3.925 5.265 3.925 Å, 90.00 90.00 90.00°
Last column: magnetic moment on the atom in μB.
Atoms (fractional coordinates):
Cr: 0.000 0.500 0.000  3.32
Si: 0.500 0.500 0.500  -0.13
B: 0.000 0.000 0.500  -0.01
B: 0.500 0.000 0.000  -0.01
Pd: 0.000 0.000 0.000  -0.01

A relaxed K2PmVS4 crystal, computed with PBE-GGA.

Properties
V = 30.89 Å³ per atom
Formation energy (no corrections) = -1256 meV/atom
Magnetic moment = 2.0 Bohr magnetons per cell

Cell: 6.981 6.981 6.981 Å, 93.35 118.09 118.09°
Last column: magnetic moment on the atom in μB.
Atoms (fractional coordinates):
K: 0.500 0.750 0.250  0.00
K: 0.000 0.000 0.000  0.00
Pm: 0.500 0.250 0.750  0.06
V: 0.000 0.500 0.500  1.76
S: 0.601 0.387 0.439  -0.02
S: 0.051 0.213 0.613  -0.02
S: 0.949 0.561 0.162  -0.02
S: 0.399 0.838 0.787  -0.02

| no. | density (g cm⁻³) |
| --- | --- |
| 1 | 5.11 |
| 2 | 12.03 |
| 3 | 4.26 |
| 4 | 2.70 |